## TaCrRh2 (PBE-GGA)

Data for a relaxed structure of TaCrRh2.

Computed properties:
* offset from the most stable computed form: 0.079 eV/atom
* ΔE_f: -0.25 eV per atom
* density: 12.144 g cm⁻³
* total energy: -9.299 eV per atom

a = 4.444 Å, b = 2.850 Å, c = 4.737 Å
α = 90.03°, β = 90.00°, γ = 90.00°
Last column: magnetic moment on the atom in μB.
Positions (direct):
1 Rh 0.500 0.125 0.300  -0.05
2 Rh 0.000 0.125 0.930  -0.02
3 Ta 0.000 0.626 0.443  -0.09
4 Cr 0.500 0.624 0.827  2.55

## TaCrRh2 (PBE-GGA)

Data for a relaxed structure of TaCrRh2.

Computed properties:
* offset from the most stable computed form: 0.090 eV/atom
* ΔE_f: -0.24 eV per atom
* density: 12.247 g cm⁻³
* total energy: -9.288 eV per atom

a = 4.668 Å, b = 4.668 Å, c = 2.840 Å
α = 90.00°, β = 90.00°, γ = 106.07°
Last column: magnetic moment on the atom in μB.
Positions (direct):
1 Rh 0.500 0.500 0.000  -0.06
2 Rh 0.000 0.000 0.000  -0.06
3 Ta 0.500 0.000 0.500  -0.16
4 Cr 0.000 0.500 0.500  2.39

## TaCr2Rh (PBE-GGA)

Data for a relaxed structure of TaCr2Rh.

Computed properties:
* offset from the most stable computed form: 0.193 eV/atom
* ΔE_f: 0.10 eV per atom
* density: 11.445 g cm⁻³
* total energy: -9.513 eV per atom

a = 4.279 Å, b = 2.675 Å, c = 5.009 Å
α = 78.97°, β = 90.00°, γ = 90.00°
Positions (direct):
1 Ta 0.500 0.750 0.750
2 Cr 0.000 0.528 0.500
3 Cr 0.000 0.972 0.000
4 Rh 0.500 0.250 0.250

## TaCr2Rh (PBE-GGA)

Data for a relaxed structure of TaCr2Rh.

Computed properties:
* offset from the most stable computed form: 0.171 eV/atom
* ΔE_f: 0.08 eV per atom
* density: 11.449 g cm⁻³
* total energy: -9.535 eV per atom

a = 5.010 Å, b = 5.010 Å, c = 2.675 Å
α = 79.97°, β = 79.97°, γ = 117.24°
Positions (direct):
1 Rh 0.500 0.000 0.500
2 Cr 0.000 0.000 0.000
3 Cr 0.500 0.500 0.000
4 Ta 0.000 0.500 0.500

## TaCr2Rh (PBE-GGA)

Data for a relaxed structure of TaCr2Rh.

Computed properties:
* offset from the most stable computed form: 0.142 eV/atom
* ΔE_f: 0.05 eV per atom
* density: 11.384 g cm⁻³
* total energy: -9.564 eV per atom

a = 4.270 Å, b = 4.270 Å, c = 3.103 Å
α = 90.00°, β = 90.00°, γ = 90.00°
Last column: magnetic moment on the atom in μB.
Positions (direct):
1 Ta 0.000 0.500 0.500  -0.32
2 Rh 0.500 0.000 0.500  0.40
3 Cr 0.000 0.000 0.000  1.28
4 Cr 0.500 0.500 0.000  1.28

## TaCrRh2 (PBE-GGA)

Data for a relaxed structure of TaCrRh2.

Computed properties:
* offset from the most stable computed form: 0.149 eV/atom
* ΔE_f: -0.18 eV per atom
* density: 12.326 g cm⁻³
* total energy: -9.229 eV per atom

a = 4.738 Å, b = 4.738 Å, c = 4.746 Å
α = 79.78°, β = 79.78°, γ = 34.37°
Last column: magnetic moment on the atom in μB.
Positions (direct):
1 Ta 0.500 0.500 0.520  -0.11
2 Rh 0.996 0.996 0.031  -0.07
3 Rh 0.748 0.748 0.739  -0.04
4 Cr 0.256 0.256 0.210  1.38

## TaCrRh4 (PBE-GGA)

Data for a relaxed structure of TaCrRh4.

Computed properties:
* ΔE_f: 0.00 eV per atom
* density: 11.464 g cm⁻³
* total energy: -8.478 eV per atom

a = 5.092 Å, b = 5.092 Å, c = 5.092 Å
α = 60.00°, β = 60.00°, γ = 60.00°
Last column: magnetic moment on the atom in μB.
Positions (direct):
1 Rh 0.375 0.375 0.375  0.12
2 Rh 0.876 0.375 0.375  0.12
3 Rh 0.375 0.375 0.876  0.12
4 Rh 0.375 0.876 0.375  0.12
5 Ta 0.750 0.750 0.750  0.10
6 Cr 0.000 0.000 0.000  3.37

## TaCr2Rh (PBE-GGA)

Data for a relaxed structure of TaCr2Rh.

Computed properties:
* offset from the most stable computed form: 0.391 eV/atom
* ΔE_f: 0.30 eV per atom
* density: 11.234 g cm⁻³
* total energy: -9.315 eV per atom

a = 9.106 Å, b = 9.106 Å, c = 9.106 Å
α = 17.16°, β = 17.16°, γ = 17.16°
Positions (direct):
1 Cr 0.994 0.994 0.994
2 Cr 0.506 0.506 0.506
3 Rh 0.250 0.250 0.250
4 Ta 0.750 0.750 0.750